Below is Sr2CuTeO6 after structural relaxation, with properties calculated at the GGA-PBEsol level.

Geometry as POSCAR:
```
Sr2CuTeO6
1.0
5.4045 0.0000 0.0000
-2.7023 5.0571 0.0248
0.0000 2.8654 4.5824
O Cu Sr Te
6 1 2 1
Cartesian
1.0535 1.9879 3.1791 O
4.3510 0.8775 1.4033 O
2.7023 3.0731 1.2654 O
1.6551 0.5586 0.8932 O
0.0000 4.8495 3.3418 O
3.7495 2.3069 3.6892 O
0.0000 0.0000 0.0000 Cu
0.0000 3.2449 1.1580 Sr
2.7023 4.6776 3.4492 Sr
2.7023 1.4327 2.2912 Te
```

Results
Symmetry: I4/m (87)
Energy relative to the elements, uncorrected, kJ/mol of formula units: -1780
Mass density, Mg/m³: 6.15

Below is FeW2Br after structural relaxation, with properties calculated at the GGA-PBEsol level.

Geometry as POSCAR:
```
FeW2Br
1.0
3.7232 0.0000 0.0000
0.0000 3.7232 0.0000
0.0000 0.0000 4.4778
W Br Fe
2 1 1
Cartesian
1.8616 0.0000 0.0000 W
0.0000 1.8616 0.0000 W
1.8616 1.8616 2.2389 Br
0.0000 0.0000 2.2389 Fe
```

Results
Distance to the lowest polymorph of the same formula, eV per atom: 0.610
Symmetry: P4/mmm (123)
Energy relative to the elements, uncorrected, kJ/mol of formula units: 492
Mass density, Mg/m³: 13.47

Below is AgRu2Br after structural relaxation, with properties calculated at the GGA-PBEsol level.

Geometry as POSCAR:
```
AgRu2Br
1.0
-1.4907 2.2581 -0.9251
-3.4893 -1.1441 2.8300
4.4151 2.1316 2.5080
Ru Br Ag
2 1 1
Cartesian
-0.6824 0.9115 3.3245 Ru
-0.5858 3.2163 4.3753 Ru
0.1184 2.3353 1.0900 Br
-2.4700 0.5849 0.9885 Ag
```

Results
Distance to the lowest polymorph of the same formula, eV per atom: 0.050
Symmetry: Imm2 (44)
Energy relative to the elements, uncorrected, kJ/mol of formula units: 322
Mass density, Mg/m³: 10.20